# 1
DFT (PBE) results for a relaxed structure of PuHfScPa.

a b c (Å): 7.219 7.219 7.219
angles (deg): 90.00 90.00 90.00
Positions (direct):
1 Pu 0.000 0.000 0.000
2 Pu 0.000 0.500 0.500
3 Pu 0.500 0.000 0.500
4 Pu 0.500 0.500 0.000
5 Hf 0.000 0.000 0.500
6 Hf 0.000 0.500 0.000
7 Hf 0.500 0.000 0.000
8 Hf 0.500 0.500 0.500
9 Sc 0.250 0.250 0.250
10 Sc 0.250 0.750 0.750
11 Sc 0.750 0.250 0.750
12 Sc 0.750 0.750 0.250
13 Pa 0.250 0.250 0.750
14 Pa 0.250 0.750 0.250
15 Pa 0.750 0.250 0.250
16 Pa 0.750 0.750 0.750

Total moment ... 23.799 Bohr magnetons per cell
DFT formation energy ... 194.5 meV/atom
N(E_F) ... 45.76 states/eV/cell

=====

# 2
DFT (PBE) results for a relaxed structure of PuHfPaTa.

a b c (Å): 7.051 7.051 7.051
angles (deg): 90.00 90.00 90.00
Positions (direct):
1 Pu 0.000 0.000 0.000
2 Pu 0.000 0.500 0.500
3 Pu 0.500 0.000 0.500
4 Pu 0.500 0.500 0.000
5 Hf 0.250 0.250 0.750
6 Hf 0.250 0.750 0.250
7 Hf 0.750 0.250 0.250
8 Hf 0.750 0.750 0.750
9 Pa 0.250 0.250 0.250
10 Pa 0.250 0.750 0.750
11 Pa 0.750 0.250 0.750
12 Pa 0.750 0.750 0.250
13 Ta 0.000 0.000 0.500
14 Ta 0.000 0.500 0.000
15 Ta 0.500 0.000 0.000
16 Ta 0.500 0.500 0.500

Total moment ... 23.468 Bohr magnetons per cell
DFT formation energy ... 141.3 meV/atom
N(E_F) ... 22.31 states/eV/cell

=====

# 3
DFT (PBE) results for a relaxed structure of Rb3HfPa3Te8.

a b c (Å): 10.311 10.311 10.311
angles (deg): 49.40 49.40 49.40
Positions (direct):
1 Rb 0.000 0.500 0.500
2 Rb 0.500 0.000 0.500
3 Rb 0.500 0.500 0.000
4 Hf 0.500 0.500 0.500
5 Pa 0.000 0.000 0.500
6 Pa 0.000 0.500 0.000
7 Pa 0.500 0.000 0.000
8 Te 0.236 0.236 0.236
9 Te 0.247 0.725 0.725
10 Te 0.275 0.275 0.753
11 Te 0.275 0.753 0.275
12 Te 0.725 0.247 0.725
13 Te 0.725 0.725 0.247
14 Te 0.753 0.275 0.275
15 Te 0.764 0.764 0.764

Formation energy without anion corrections ... -0.90 eV per atom
Total moment ... 5.820 Bohr magnetons per cell
N(E_F) ... 18.84 states/eV/cell

=====

# 4
DFT (PBE) results for a relaxed structure of HfPaRe4.

a b c (Å): 5.376 5.376 5.376
angles (deg): 60.00 60.00 60.00
Positions (direct):
1 Hf 0.000 0.000 0.000
2 Pa 0.250 0.250 0.250
3 Re 0.123 0.626 0.626
4 Re 0.626 0.123 0.626
5 Re 0.626 0.626 0.123
6 Re 0.626 0.626 0.626

Total moment ... 0.000 Bohr magnetons per cell
DFT formation energy ... -163.1 meV/atom
N(E_F) ... 10.07 states/eV/cell

=====

# 5
DFT (PBE) results for a relaxed structure of HfPaRe2.

a b c (Å): 4.778 4.778 3.356
angles (deg): 90.00 90.00 90.00
Positions (direct):
1 Hf 0.000 0.000 0.000
2 Pa 0.500 0.500 0.000
3 Re 0.000 0.500 0.500
4 Re 0.500 0.000 0.500

Total moment ... 0.000 Bohr magnetons per cell
DFT formation energy ... -187.4 meV/atom
Energy relative to the lowest polymorph listed for this composition ... 0 meV per atom
N(E_F) ... 3.24 states/eV/cell

=====

# 6
DFT (PBE) results for a relaxed structure of HfPaRe2.

a b c (Å): 6.741 6.741 6.741
angles (deg): 90.00 90.00 90.00
Positions (direct):
1 Hf 0.000 0.000 0.000
2 Hf 0.000 0.500 0.500
3 Hf 0.500 0.000 0.500
4 Hf 0.500 0.500 0.000
5 Pa 0.000 0.000 0.500
6 Pa 0.000 0.500 0.000
7 Pa 0.500 0.000 0.000
8 Pa 0.500 0.500 0.500
9 Re 0.250 0.250 0.250
10 Re 0.250 0.250 0.750
11 Re 0.250 0.750 0.250
12 Re 0.250 0.750 0.750
13 Re 0.750 0.250 0.250
14 Re 0.750 0.250 0.750
15 Re 0.750 0.750 0.250
16 Re 0.750 0.750 0.750

Total moment ... 0.000 Bohr magnetons per cell
DFT formation energy ... -159.5 meV/atom
Energy relative to the lowest polymorph listed for this composition ... 28 meV per atom
N(E_F) ... 15.25 states/eV/cell

=====

# 7
DFT (PBE) results for a relaxed structure of HfPaReRh.

a b c (Å): 6.738 6.738 6.738
angles (deg): 90.00 90.00 90.00
Positions (direct):
1 Hf 0.000 0.000 0.000
2 Hf 0.000 0.500 0.500
3 Hf 0.500 0.000 0.500
4 Hf 0.500 0.500 0.000
5 Pa 0.000 0.000 0.500
6 Pa 0.000 0.500 0.000
7 Pa 0.500 0.000 0.000
8 Pa 0.500 0.500 0.500
9 Re 0.250 0.250 0.750
10 Re 0.250 0.750 0.250
11 Re 0.750 0.250 0.250
12 Re 0.750 0.750 0.750
13 Rh 0.250 0.250 0.250
14 Rh 0.250 0.750 0.750
15 Rh 0.750 0.250 0.750
16 Rh 0.750 0.750 0.250

Total moment ... 0.001 Bohr magnetons per cell
DFT formation energy ... -400.7 meV/atom
N(E_F) ... 18.47 states/eV/cell

=====

# 8
DFT (PBE) results for a relaxed structure of HfPaReRu.

a b c (Å): 6.722 6.722 6.722
angles (deg): 90.00 90.00 90.00
Positions (direct):
1 Hf 0.000 0.000 0.000
2 Hf 0.000 0.500 0.500
3 Hf 0.500 0.000 0.500
4 Hf 0.500 0.500 0.000
5 Pa 0.000 0.000 0.500
6 Pa 0.000 0.500 0.000
7 Pa 0.500 0.000 0.000
8 Pa 0.500 0.500 0.500
9 Re 0.250 0.250 0.250
10 Re 0.250 0.750 0.750
11 Re 0.750 0.250 0.750
12 Re 0.750 0.750 0.250
13 Ru 0.250 0.250 0.750
14 Ru 0.250 0.750 0.250
15 Ru 0.750 0.250 0.250
16 Ru 0.750 0.750 0.750

Total moment ... 0.000 Bohr magnetons per cell
DFT formation energy ... -330.1 meV/atom
N(E_F) ... 8.04 states/eV/cell

=====

# 9
DFT (PBE) results for a relaxed structure of HfScPaRe.

a b c (Å): 6.877 6.877 6.877
angles (deg): 90.00 90.00 90.00
Positions (direct):
1 Hf 0.000 0.000 0.000
2 Hf 0.000 0.500 0.500
3 Hf 0.500 0.000 0.500
4 Hf 0.500 0.500 0.000
5 Sc 0.250 0.250 0.750
6 Sc 0.250 0.750 0.250
7 Sc 0.750 0.250 0.250
8 Sc 0.750 0.750 0.750
9 Pa 0.250 0.250 0.250
10 Pa 0.250 0.750 0.750
11 Pa 0.750 0.250 0.750
12 Pa 0.750 0.750 0.250
13 Re 0.000 0.000 0.500
14 Re 0.000 0.500 0.000
15 Re 0.500 0.000 0.000
16 Re 0.500 0.500 0.500

Total moment ... 0.000 Bohr magnetons per cell
DFT formation energy ... 17.5 meV/atom
N(E_F) ... 11.81 states/eV/cell

=====

# 10
DFT (PBE) results for a relaxed structure of HfPaReTc.

a b c (Å): 6.726 6.726 6.726
angles (deg): 90.00 90.00 90.00
Positions (direct):
1 Hf 0.000 0.000 0.000
2 Hf 0.000 0.500 0.500
3 Hf 0.500 0.000 0.500
4 Hf 0.500 0.500 0.000
5 Pa 0.000 0.000 0.500
6 Pa 0.000 0.500 0.000
7 Pa 0.500 0.000 0.000
8 Pa 0.500 0.500 0.500
9 Re 0.250 0.250 0.250
10 Re 0.250 0.750 0.750
11 Re 0.750 0.250 0.750
12 Re 0.750 0.750 0.250
13 Tc 0.250 0.250 0.750
14 Tc 0.250 0.750 0.250
15 Tc 0.750 0.250 0.250
16 Tc 0.750 0.750 0.750

Total moment ... 0.000 Bohr magnetons per cell
DFT formation energy ... -265.6 meV/atom
N(E_F) ... 14.11 states/eV/cell

=====

# 11
DFT (PBE) results for a relaxed structure of HfPaTiRe.

a b c (Å): 6.771 6.771 6.771
angles (deg): 90.00 90.00 90.00
Positions (direct):
1 Hf 0.000 0.000 0.000
2 Hf 0.000 0.500 0.500
3 Hf 0.500 0.000 0.500
4 Hf 0.500 0.500 0.000
5 Pa 0.000 0.000 0.500
6 Pa 0.000 0.500 0.000
7 Pa 0.500 0.000 0.000
8 Pa 0.500 0.500 0.500
9 Ti 0.250 0.250 0.250
10 Ti 0.250 0.750 0.750
11 Ti 0.750 0.250 0.750
12 Ti 0.750 0.750 0.250
13 Re 0.250 0.250 0.750
14 Re 0.250 0.750 0.250
15 Re 0.750 0.250 0.250
16 Re 0.750 0.750 0.750

Total moment ... 0.000 Bohr magnetons per cell
DFT formation energy ... -90.8 meV/atom
N(E_F) ... 20.80 states/eV/cell

=====

# 12
DFT (PBE) results for a relaxed structure of HfPaVRe.

a b c (Å): 6.698 6.698 6.698
angles (deg): 90.00 90.00 90.00
Positions (direct):
1 Hf 0.000 0.000 0.000
2 Hf 0.000 0.500 0.500
3 Hf 0.500 0.000 0.500
4 Hf 0.500 0.500 0.000
5 Pa 0.000 0.000 0.500
6 Pa 0.000 0.500 0.000
7 Pa 0.500 0.000 0.000
8 Pa 0.500 0.500 0.500
9 V 0.250 0.250 0.250
10 V 0.250 0.750 0.750
11 V 0.750 0.250 0.750
12 V 0.750 0.750 0.250
13 Re 0.250 0.250 0.750
14 Re 0.250 0.750 0.250
15 Re 0.750 0.250 0.250
16 Re 0.750 0.750 0.750

Total moment ... 0.100 Bohr magnetons per cell
DFT formation energy ... -43.0 meV/atom
N(E_F) ... 22.63 states/eV/cell

=====

# 13
DFT (PBE) results for a relaxed structure of HfPaZnRe.

a b c (Å): 6.808 6.808 6.808
angles (deg): 90.00 90.00 90.00
Positions (direct):
1 Hf 0.000 0.000 0.000
2 Hf 0.000 0.500 0.500
3 Hf 0.500 0.000 0.500
4 Hf 0.500 0.500 0.000
5 Pa 0.000 0.000 0.500
6 Pa 0.000 0.500 0.000
7 Pa 0.500 0.000 0.000
8 Pa 0.500 0.500 0.500
9 Zn 0.250 0.250 0.750
10 Zn 0.250 0.750 0.250
11 Zn 0.750 0.250 0.250
12 Zn 0.750 0.750 0.750
13 Re 0.250 0.250 0.250
14 Re 0.250 0.750 0.750
15 Re 0.750 0.250 0.750
16 Re 0.750 0.750 0.250

Total moment ... 0.000 Bohr magnetons per cell
DFT formation energy ... -36.0 meV/atom
N(E_F) ... 16.74 states/eV/cell

=====

# 14
DFT (PBE) results for a relaxed structure of HfPaRh2.

a b c (Å): 6.743 6.743 6.743
angles (deg): 90.00 90.00 90.00
Positions (direct):
1 Hf 0.000 0.000 0.000
2 Hf 0.000 0.500 0.500
3 Hf 0.500 0.000 0.500
4 Hf 0.500 0.500 0.000
5 Pa 0.000 0.000 0.500
6 Pa 0.000 0.500 0.000
7 Pa 0.500 0.000 0.000
8 Pa 0.500 0.500 0.500
9 Rh 0.250 0.250 0.250
10 Rh 0.250 0.250 0.750
11 Rh 0.250 0.750 0.250
12 Rh 0.250 0.750 0.750
13 Rh 0.750 0.250 0.250
14 Rh 0.750 0.250 0.750
15 Rh 0.750 0.750 0.250
16 Rh 0.750 0.750 0.750

Total moment ... 0.074 Bohr magnetons per cell
DFT formation energy ... -624.2 meV/atom
Energy relative to the lowest polymorph listed for this composition ... 188 meV per atom
N(E_F) ... 31.16 states/eV/cell

=====

# 15
DFT (PBE) results for a relaxed structure of HfPaRh.

a b c (Å): 3.197 3.197 12.145
angles (deg): 90.00 90.00 90.00
Positions (direct):
1 Hf 0.000 0.000 0.000
2 Hf 0.500 0.500 0.500
3 Pa 0.000 0.000 0.697
4 Pa 0.500 0.500 0.197
5 Rh 0.000 0.000 0.370
6 Rh 0.500 0.500 0.870

Total moment ... 0.000 Bohr magnetons per cell
DFT formation energy ... -423.1 meV/atom
Energy relative to the lowest polymorph listed for this composition ... 0 meV per atom
N(E_F) ... 6.80 states/eV/cell

=====

# 16
DFT (PBE) results for a relaxed structure of HfPa2Rh.

a b c (Å): 3.611 3.611 6.921
angles (deg): 90.00 90.00 90.00
Positions (direct):
1 Hf 0.000 0.000 0.000
2 Pa 0.500 0.500 0.288
3 Pa 0.500 0.500 0.712
4 Rh 0.000 0.000 0.500

Total moment ... 0.000 Bohr magnetons per cell
DFT formation energy ... -157.6 meV/atom
Energy relative to the lowest polymorph listed for this composition ... 0 meV per atom
N(E_F) ... 7.85 states/eV/cell

=====

# 17
DFT (PBE) results for a relaxed structure of HfPaRh2.

a b c (Å): 5.536 4.185 7.102
angles (deg): 90.00 107.18 90.00
Positions (direct):
1 Hf 0.220 0.250 0.435
2 Hf 0.780 0.750 0.565
3 Pa 0.220 0.250 0.921
4 Pa 0.780 0.750 0.079
5 Rh 0.303 0.750 0.207
6 Rh 0.308 0.750 0.690
7 Rh 0.692 0.250 0.310
8 Rh 0.697 0.250 0.793

Total moment ... 0.000 Bohr magnetons per cell
DFT formation energy ... -812.5 meV/atom
Energy relative to the lowest polymorph listed for this composition ... 0 meV per atom
N(E_F) ... 5.94 states/eV/cell

=====

# 18
DFT (PBE) results for a relaxed structure of HfPaRh6.

a b c (Å): 4.011 4.011 7.967
angles (deg): 90.00 90.00 90.00
Positions (direct):
1 Hf 0.000 0.000 0.000
2 Pa 0.000 0.000 0.500
3 Rh 0.000 0.500 0.245
4 Rh 0.000 0.500 0.755
5 Rh 0.500 0.000 0.245
6 Rh 0.500 0.000 0.755
7 Rh 0.500 0.500 0.000
8 Rh 0.500 0.500 0.500

Total moment ... 0.000 Bohr magnetons per cell
DFT formation energy ... -822.8 meV/atom
Energy relative to the lowest polymorph listed for this composition ... 0 meV per atom
N(E_F) ... 7.93 states/eV/cell

=====

# 19
DFT (PBE) results for a relaxed structure of HfPaRh2.

a b c (Å): 3.201 3.201 7.312
angles (deg): 90.00 90.00 90.00
Positions (direct):
1 Hf 0.000 0.000 0.000
2 Pa 0.000 0.000 0.500
3 Rh 0.500 0.500 0.218
4 Rh 0.500 0.500 0.782

Total moment ... 0.000 Bohr magnetons per cell
DFT formation energy ... -751.6 meV/atom
Energy relative to the lowest polymorph listed for this composition ... 61 meV per atom
N(E_F) ... 3.58 states/eV/cell

=====

# 20
DFT (PBE) results for a relaxed structure of HfPaRh.

a b c (Å): 6.854 6.854 6.854
angles (deg): 42.91 42.91 42.91
Positions (direct):
1 Hf 0.128 0.128 0.128
2 Hf 0.872 0.872 0.872
3 Pa 0.401 0.401 0.401
4 Pa 0.599 0.599 0.599
5 Rh 0.265 0.265 0.265
6 Rh 0.735 0.735 0.735

Total moment ... 0.000 Bohr magnetons per cell
DFT formation energy ... -195.1 meV/atom
Energy relative to the lowest polymorph listed for this composition ... 228 meV per atom
N(E_F) ... 7.58 states/eV/cell